Entry from Alexandria via LeMat-Bulk: a relaxed structure of NbCr2AgOs (PBE).

## Properties
- E_tot: -6.271 eV/atom
- Space-group type: P4/mmm, No. 123
- ΔE_f: 12.040 eV per formula unit
- Crystal system: tetragonal
- Density: 8.65 g/cm3

```
NbCr2AgOs
1.0
4.4401 0.0000 0.0000
0.0000 4.4401 0.0000
0.0000 0.0000 4.8195
Nb Cr Ag Os
1 2 1 1
direct
0.0000 0.0000 0.0000
0.0000 0.5000 0.5000
0.5000 0.0000 0.5000
0.5000 0.5000 0.5000
0.5000 0.5000 0.0000
```